# Ce2MnGa4Ge2 (PBE, relaxed)
data_Ce2MnGa4Ge2
_cell_length_a 6.248
_cell_length_b 6.248
_cell_length_c 8.858
_cell_angle_alpha 90.00
_cell_angle_beta 90.00
_cell_angle_gamma 90.00
_space_group_name_H-M_alt 'I 4/m m m'
_space_group_IT_number 139
_space_group_name_Hall '-I 4 2'
loop_
_atom_site_label
_atom_site_type_symbol
_atom_site_fract_x
_atom_site_fract_y
_atom_site_fract_z
Ce1 Ce 0.000 0.500 0.250
Mn1 Mn 0.000 0.000 0.000
Ga1 Ga 0.218 0.218 0.500
Ge1 Ge 0.000 0.000 0.280
# calculated total energy	-5.233	eV/atom
# ΔH_f (0 K)	-50.55	kJ per mole of atoms



# SmMgIn (PBE, relaxed)
data_SmMgIn
_cell_length_a 7.123
_cell_length_b 7.123
_cell_length_c 7.123
_cell_angle_alpha 90.00
_cell_angle_beta 90.00
_cell_angle_gamma 90.00
_space_group_name_H-M_alt 'F -4 3 m'
_space_group_IT_number 216
_space_group_name_Hall 'F -4 2 3'
loop_
_atom_site_label
_atom_site_type_symbol
_atom_site_fract_x
_atom_site_fract_y
_atom_site_fract_z
Sm1 Sm 0.000 0.000 0.000
Mg1 Mg 0.000 0.000 0.500
In1 In 0.250 0.250 0.750
# calculated total energy	-3.246	eV/atom
# ΔH_f (0 K)	-22.08	kJ per mole of atoms



# CdHgO2 (PBE, relaxed)
data_CdHgO2
_cell_length_a 6.194
_cell_length_b 3.568
_cell_length_c 6.461
_cell_angle_alpha 90.00
_cell_angle_beta 103.88
_cell_angle_gamma 90.00
_space_group_name_H-M_alt 'C 1 2/m 1'
_space_group_IT_number 12
loop_
_space_group_symop_operation_xyz
'x,y,z'
'-x,-y,-z'
'-x,y,-z'
'x,-y,z'
'x+1/2,y+1/2,z'
'-x+1/2,-y+1/2,-z'
'-x+1/2,y+1/2,-z'
'x+1/2,-y+1/2,z'
loop_
_atom_site_label
_atom_site_type_symbol
_atom_site_fract_x
_atom_site_fract_y
_atom_site_fract_z
Cd1 Cd 0.000 0.000 0.000
Hg1 Hg 0.000 0.500 0.500
O1 O 0.120 0.500 0.819
# calculated total energy	-3.470	eV/atom
# formation energy from raw total energies	-0.6862	eV/atom



# KW2Se (PBE, relaxed)
data_KW2Se
_cell_length_a 2.766
_cell_length_b 5.027
_cell_length_c 11.386
_cell_angle_alpha 90.00
_cell_angle_beta 90.00
_cell_angle_gamma 90.00
_space_group_name_H-M_alt 'I m m m'
_space_group_IT_number 71
_space_group_name_Hall '-I 2 2'
loop_
_atom_site_label
_atom_site_type_symbol
_atom_site_fract_x
_atom_site_fract_y
_atom_site_fract_z
K1 K 0.000 0.000 0.000
W1 W 0.000 0.500 0.207
Se1 Se 0.000 0.000 0.500
# calculated total energy	-6.739	eV/atom
# formation energy from raw total energies	0.8833	eV/atom



# KPu2BeSe4 (PBE, relaxed)
data_KPu2BeSe4
_cell_length_a 4.067
_cell_length_b 14.536
_cell_length_c 14.300
_cell_angle_alpha 90.00
_cell_angle_beta 90.00
_cell_angle_gamma 90.00
_space_group_name_H-M_alt 'C m c m'
_space_group_IT_number 63
_space_group_name_Hall '-C 2c 2'
loop_
_atom_site_label
_atom_site_type_symbol
_atom_site_fract_x
_atom_site_fract_y
_atom_site_fract_z
K1 K 0.000 0.099 0.250
Pu1 Pu 0.000 0.365 0.052
Be1 Be 0.000 0.172 0.750
Se1 Se 0.000 0.000 0.000
Se2 Se 0.000 0.262 0.622
Se3 Se 0.000 0.415 0.250
# calculated total energy	-7.200	eV/atom
# formation energy from raw total energies	-1.2720	eV/atom



# NdZrC2 (PBE, relaxed)
data_NdZrC2
_cell_length_a 3.5084
_cell_length_b 3.5084
_cell_length_c 17.7059
_cell_angle_alpha 90.00
_cell_angle_beta 90.00
_cell_angle_gamma 120.00
_space_group_name_H-M_alt 'R -3 m'
_space_group_IT_number 166
_space_group_name_Hall '-R 3 2"'
loop_
_atom_site_label
_atom_site_type_symbol
_atom_site_fract_x
_atom_site_fract_y
_atom_site_fract_z
Nd1 Nd 0.0000 0.0000 0.0000
Zr1 Zr 0.0000 0.0000 0.5000
C1 C 0.0000 0.0000 0.2388
# calculated total energy	-8.134	eV/atom
# ΔH_f (0 K)	-18.67	kJ per mole of atoms